VASP calculation (PBE-GGA) on Pm3Cu2GePd9 after structural relaxation.

Computed properties:
Space-group type: No. 164
Formation energy in eV per atom: -0.45

Cell lengths 5.6606, 5.6606, 11.3484 Å; angles 90.00, 90.00, 120.00 degrees
Closest atoms and distances in Å follow each position.
Element x y z (fractional)
Pm 0.0000 0.0000 0.0000  6 Pd 2.83
Pm 0.3333 0.6667 0.7557  9 Pd 3.04-3.22, 3 Cu 3.38
Pm 0.6667 0.3333 0.2443  9 Pd 3.04-3.22, 3 Cu 3.38
Cu 0.3333 0.6667 0.1699  6 Pd 2.53
Cu 0.6667 0.3333 0.8301  6 Pd 2.53
Ge 0.0000 0.0000 0.5000  6 Pd 2.44
Pd 0.0000 0.5000 0.0000  2 Cu 2.53, 2 Pm 2.83, 4 Pd 2.83
Pd 0.1692 0.3384 0.3422  1 Ge 2.44, 1 Cu 2.53
Pd 0.1692 0.8308 0.3422  1 Ge 2.44, 1 Cu 2.53
Pd 0.3384 0.1692 0.6578  1 Ge 2.44, 1 Cu 2.53
Pd 0.5000 0.0000 0.0000  2 Cu 2.53, 2 Pm 2.83, 4 Pd 2.83
Pd 0.5000 0.5000 0.0000  2 Cu 2.53, 2 Pm 2.83, 4 Pd 2.83
Pd 0.6616 0.8308 0.3422  1 Ge 2.44, 1 Cu 2.53
Pd 0.8308 0.1692 0.6578  1 Ge 2.44, 1 Cu 2.53
Pd 0.8308 0.6616 0.6578  1 Ge 2.44, 1 Cu 2.53